Entry 1:
# CsTlAsPd2

A geometry-optimized CsTlAsPd2 structure (PBE, Alexandria via LeMat-Bulk).

Cell: 8.1580 4.5265 8.9650 Å, 90.00 108.49 90.00°
Sites, in units of the cell vectors:
1 Cs 0.0497 0.2500 0.2993
2 Cs 0.9503 0.7500 0.7007
3 Tl 0.2969 0.7500 0.0955
4 Tl 0.7031 0.2500 0.9045
5 As 0.3572 0.7500 0.6021
6 As 0.6428 0.2500 0.3979
7 Pd 0.4736 0.2500 0.5859
8 Pd 0.4905 0.7500 0.8846
9 Pd 0.5095 0.2500 0.1154
10 Pd 0.5264 0.7500 0.4141

Results
The value obtained for the energy is -39.4 eV for the cell shown. As for the total moment: 0.00 μB per formula unit. The formation enthalpy at 0 K comes out at -6.7 kcal/mol of atoms. As for the symmetry: P2_1/m.

***

Entry 2:
# PmThRu

A geometry-optimized PmThRu structure (PBE, Alexandria via LeMat-Bulk).

Cell: 6.0519 6.0519 7.3756 Å, 101.72 101.72 41.09°
Sites, in units of the cell vectors:
1 Pm 0.1211 0.1211 0.3649
2 Pm 0.8789 0.8789 0.6351
3 Th 0.3746 0.3746 0.1170
4 Th 0.6254 0.6254 0.8830
5 Ru 0.2365 0.2365 0.7558
6 Ru 0.7635 0.7635 0.2442

Results
The value obtained for the energy is -44.5 eV for the cell shown. As for the total moment: 0.00 μB per formula unit. The offset from the most stable computed form comes out at 0.0000 eV per atom. The formation enthalpy at 0 K comes out at -6.4 kcal/mol of atoms. As for the symmetry: C2/m.

***

Entry 3:
# DySi2Pb2Au7

A geometry-optimized DySi2Pb2Au7 structure (PBE, Alexandria via LeMat-Bulk).

Cell: 4.3557 4.3557 14.9266 Å, 97.90 97.90 90.04°
Sites, in units of the cell vectors:
1 Dy 0.0000 0.0000 0.0000
2 Si 0.3939 0.3939 0.7708
3 Si 0.6061 0.6061 0.2292
4 Pb 0.1985 0.1985 0.4075
5 Pb 0.8015 0.8015 0.5925
6 Au 0.0671 0.5688 0.1453
7 Au 0.3092 0.3092 0.6057
8 Au 0.4312 0.9329 0.8547
9 Au 0.5000 0.5000 0.0000
10 Au 0.5688 0.0671 0.1453
11 Au 0.6908 0.6908 0.3943
12 Au 0.9329 0.4312 0.8547

Results
The value obtained for the energy is -48.3 eV for the cell shown. As for the formation energy without anion corrections: -0.2038 eV per atom. As for the total moment: 0.00 μB per formula unit. As for the symmetry: C2/m.

***

Entry 4:
# NaIr2Os2

A geometry-optimized NaIr2Os2 structure (PBE, Alexandria via LeMat-Bulk).

Cell: 7.7256 7.7256 2.7141 Å, 90.00 90.00 90.00°
Sites, in units of the cell vectors:
1 Na 0.0000 0.0000 0.0000
2 Na 0.5000 0.5000 0.0000
3 Ir 0.1730 0.3270 0.5000
4 Ir 0.3270 0.8270 0.5000
5 Ir 0.6730 0.1730 0.5000
6 Ir 0.8270 0.6730 0.5000
7 Os 0.1208 0.6208 0.0000
8 Os 0.3792 0.1208 0.0000
9 Os 0.6208 0.8792 0.0000
10 Os 0.8792 0.3792 0.0000

Results
The value obtained for the energy is -80.5 eV for the cell shown. As for the total moment: 0.00 μB per formula unit. The offset from the most stable computed form comes out at 0.0000 eV per atom. The formation enthalpy at 0 K comes out at 5.9 kcal/mol of atoms. As for the symmetry: P4/mbm.

***

Entry 5:
# Y6Ga2Bi

A geometry-optimized Y6Ga2Bi structure (PBE, Alexandria via LeMat-Bulk).

Cell: 8.7157 8.7157 8.7157 Å, 112.56 112.41 103.60°
Sites, in units of the cell vectors:
1 Y 0.0189 0.8205 0.1983
2 Y 0.2399 0.5345 0.2946
3 Y 0.2399 0.9453 0.7054
4 Y 0.2798 0.3156 0.5953
5 Y 0.2798 0.6844 0.9642
6 Y 0.3778 0.1795 0.1983
7 Y 0.6222 0.8205 0.8017
8 Y 0.7202 0.3156 0.0358
9 Y 0.7202 0.6844 0.4047
10 Y 0.7601 0.0547 0.2946
11 Y 0.7601 0.4655 0.7054
12 Y 0.9811 0.1795 0.8017
13 Ga 0.0000 0.1424 0.1424
14 Ga 0.0000 0.8576 0.8576
15 Ga 0.3814 0.3814 0.0000
16 Ga 0.6186 0.6186 0.0000
17 Bi 0.0000 0.5000 0.5000
18 Bi 0.5000 0.0000 0.5000

Results
The value obtained for the energy is -106.3 eV for the cell shown. As for the total moment: 0.00 μB per formula unit. The formation enthalpy at 0 K comes out at -11.3 kcal/mol of atoms. As for the symmetry: Immm.

***

Entry 6:
# TiCrPb

A geometry-optimized TiCrPb structure (PBE, Alexandria via LeMat-Bulk).

Cell: 5.6818 5.6818 7.4182 Å, 115.54 115.54 32.39°
Sites, in units of the cell vectors:
1 Ti 0.0000 0.0000 0.0000
2 Ti 0.1889 0.1889 0.5635
3 Cr 0.4553 0.4553 0.2651
4 Cr 0.6475 0.6475 0.2734
5 Pb 0.7240 0.7240 0.9487
6 Pb 0.9244 0.9244 0.5699

Results
The value obtained for the energy is -40.8 eV for the cell shown. As for the total moment: 0.35 μB per formula unit. The offset from the most stable computed form comes out at 0.1052 eV per atom. The formation enthalpy at 0 K comes out at 6.2 kcal/mol of atoms. As for the symmetry: Cm.

***

Entry 7:
# Fe2TcRu

A geometry-optimized Fe2TcRu structure (PBE, Alexandria via LeMat-Bulk).

Cell: 4.2007 4.2007 4.2007 Å, 60.00 60.00 60.00°
Sites, in units of the cell vectors:
1 Fe 0.2500 0.2500 0.2500
2 Fe 0.7500 0.7500 0.7500
3 Tc 0.0000 0.0000 0.0000
4 Ru 0.5000 0.5000 0.5000

Results
The value obtained for the energy is -36.0 eV for the cell shown. As for the total moment: 5.69 μB per formula unit. The offset from the most stable computed form comes out at 0.0380 eV per atom. The formation enthalpy at 0 K comes out at 3.1 kcal/mol of atoms. As for the symmetry: Fm-3m.

***

Entry 8:
# GdDyNiSn

A geometry-optimized GdDyNiSn structure (PBE, Alexandria via LeMat-Bulk).

Cell: 5.1172 5.1172 5.1172 Å, 60.00 60.00 60.00°
Sites, in units of the cell vectors:
1 Gd 0.0000 0.0000 0.0000
2 Dy 0.5000 0.5000 0.5000
3 Ni 0.2500 0.2500 0.2500
4 Sn 0.7500 0.7500 0.7500

Results
The value obtained for the energy is -30.2 eV for the cell shown. As for the total moment: 7.22 μB per formula unit. The formation enthalpy at 0 K comes out at -10.1 kcal/mol of atoms. As for the symmetry: F-43m.

***

Entry 9:
# Ac8Cu2Ru

A geometry-optimized Ac8Cu2Ru structure (PBE, Alexandria via LeMat-Bulk).

Cell: 9.9804 9.9804 7.3552 Å, 101.13 101.13 32.10°
Sites, in units of the cell vectors:
1 Ac 0.0340 0.0340 0.2931
2 Ac 0.2061 0.2061 0.8388
3 Ac 0.3387 0.3387 0.5280
4 Ac 0.4130 0.4130 0.0706
5 Ac 0.5870 0.5870 0.9294
6 Ac 0.6613 0.6613 0.4720
7 Ac 0.7939 0.7939 0.1612
8 Ac 0.9660 0.9660 0.7069
9 Cu 0.1918 0.1918 0.2452
10 Cu 0.8082 0.8082 0.7548
11 Ru 0.5000 0.5000 0.5000

Results
The value obtained for the energy is -50.3 eV for the cell shown. As for the total moment: 0.00 μB per formula unit. The offset from the most stable computed form comes out at 0.0869 eV per atom. The formation enthalpy at 0 K comes out at 0.2 kcal/mol of atoms. As for the symmetry: C2/m.

***

Entry 10:
# NaPtW

A geometry-optimized NaPtW structure (PBE, Alexandria via LeMat-Bulk).

Cell: 4.8790 2.7080 8.1603 Å, 90.00 102.15 90.00°
Sites, in units of the cell vectors:
1 Na 0.1370 0.2500 0.1852
2 Na 0.8630 0.7500 0.8148
3 Pt 0.3782 0.2500 0.8544
4 Pt 0.6218 0.7500 0.1456
5 W 0.2722 0.7500 0.5634
6 W 0.7278 0.2500 0.4366

Results
The value obtained for the energy is -40.0 eV for the cell shown. As for the total moment: 0.00 μB per formula unit. The offset from the most stable computed form comes out at 0.1886 eV per atom. The formation enthalpy at 0 K comes out at 2.5 kcal/mol of atoms. As for the symmetry: P2_1/m.

***

Entry 11:
# YSiMo2

A geometry-optimized YSiMo2 structure (PBE, Alexandria via LeMat-Bulk).

Cell: 3.2491 3.2491 6.9238 Å, 90.00 90.00 90.00°
Sites, in units of the cell vectors:
1 Y 0.0000 0.0000 0.0000
2 Si 0.5000 0.5000 0.7043
3 Mo 0.0000 0.0000 0.5136
4 Mo 0.5000 0.5000 0.3118

Results
The value obtained for the energy is -34.0 eV for the cell shown. As for the formation energy without anion corrections: -0.1159 eV per atom. As for the total moment: 0.00 μB per formula unit. As for the symmetry: P4mm.

***

Entry 12:
# Hf2BeNi

A geometry-optimized Hf2BeNi structure (PBE, Alexandria via LeMat-Bulk).

Cell: 3.8782 3.8782 5.5568 Å, 110.46 110.46 60.06°
Sites, in units of the cell vectors:
1 Hf 0.0000 0.0000 0.0000
2 Hf 0.1894 0.1894 0.5677
3 Be 0.4206 0.4206 0.2609
4 Ni 0.7704 0.7704 0.3107

Results
The value obtained for the energy is -30.1 eV for the cell shown. As for the total moment: 0.00 μB per formula unit. The formation enthalpy at 0 K comes out at -3.7 kcal/mol of atoms. As for the symmetry: Cm.